# 1
This record from Alexandria via LeMat-Bulk describes an optimized crystal structure of Pm2Nd4Er5. The functional is GGA-PBE.

Unit cell a=6.728 b=6.728 c=9.245 alpha=104.08 beta=104.08 gamma=67.46
Sites, in units of the cell vectors:
1 Pm 0.143 0.143 0.127
2 Pm 0.857 0.857 0.873
3 Nd 0.316 0.316 0.502
4 Nd 0.324 0.324 0.875
5 Nd 0.676 0.676 0.125
6 Nd 0.684 0.684 0.498
7 Er 0.000 0.000 0.500
8 Er 0.212 0.652 0.220
9 Er 0.348 0.788 0.780
10 Er 0.652 0.212 0.220
11 Er 0.788 0.348 0.780

The energy above the most stable polymorph in this dataset is 11 meV/atom. The value obtained for the size of the total moment is 0.00 μB/cell.

***

# 2
This record from Alexandria via LeMat-Bulk describes an optimized crystal structure of SnSeI. The functional is GGA-PBE.

Unit cell a=5.424 b=5.424 c=3.284 alpha=90.00 beta=90.00 gamma=120.00
Sites, in units of the cell vectors:
1 Sn 0.000 0.000 0.000
2 Se 0.667 0.333 0.003
3 I 0.333 0.667 0.504

The energy above the most stable polymorph in this dataset is 473 meV/atom. The value obtained for the size of the total moment is 0.00 μB/cell. The formation energy (no corrections) is 0.131 eV per atom.